(a)
# Li5InPt

Li5InPt after structural relaxation (PBE-GGA, the Alexandria database).

Cell lengths 5.8570, 5.8570, 5.8570 Å; angles 129.25, 126.32, 77.00 degrees
Sites, in units of the cell vectors:
Li (0.0000, 0.0000, 0.0000)
Li (0.4932, 0.2393, 0.7462)
Li (0.4932, 0.7470, 0.2538)
Li (0.5471, 0.2708, 0.2763)
Li (0.9945, 0.2708, 0.7237)
In (0.1780, 0.6780, 0.5000)
Pt (0.7319, 0.7319, 0.0000)

space-group type: Imm2



(b)
# Li5InPt

Li5InPt after structural relaxation (PBE-GGA, the Alexandria database).

Cell lengths 3.9421, 3.9421, 7.8412 Å; angles 90.00, 90.00, 90.00 degrees
Sites, in units of the cell vectors:
Li (0.0000, 0.0000, 0.0000)
Li (0.0000, 0.5000, 0.2336)
Li (0.0000, 0.5000, 0.7664)
Li (0.5000, 0.0000, 0.2336)
Li (0.5000, 0.0000, 0.7664)
In (0.0000, 0.0000, 0.5000)
Pt (0.5000, 0.5000, 0.0000)

space-group type: P4/mmm



Relative energies, unit kJ/mol of atoms: (a) 1.8; (b) 0.0



(a)
# Li4InPt

Li4InPt after structural relaxation (PBE-GGA, the Alexandria database).

Cell lengths 4.4256, 4.4256, 5.5016 Å; angles 90.00, 90.00, 120.00 degrees
Sites, in units of the cell vectors:
Li (0.3333, 0.6667, 0.2253)
Li (0.3333, 0.6667, 0.7747)
Li (0.6667, 0.3333, 0.2253)
Li (0.6667, 0.3333, 0.7747)
In (0.0000, 0.0000, 0.5000)
Pt (0.0000, 0.0000, 0.0000)

space-group type: P6/mmm



(b)
# Li4InPt

Li4InPt after structural relaxation (PBE-GGA, the Alexandria database).

Cell lengths 7.0547, 7.0547, 5.0048 Å; angles 101.32, 101.32, 59.19 degrees
Sites, in units of the cell vectors:
Li (0.0755, 0.6841, 0.4228)
Li (0.1952, 0.8048, 0.0000)
Li (0.3159, 0.9245, 0.5772)
Li (0.3387, 0.3387, 0.7124)
Li (0.6613, 0.6613, 0.2876)
Li (0.6841, 0.0755, 0.4228)
Li (0.8048, 0.1952, 0.0000)
Li (0.9245, 0.3159, 0.5772)
In (0.2175, 0.2175, 0.1285)
In (0.7825, 0.7825, 0.8715)
Pt (0.4482, 0.4482, 0.2319)
Pt (0.5518, 0.5518, 0.7681)

space-group type: C2/m



(c)
# Li4InPt

Li4InPt after structural relaxation (PBE-GGA, the Alexandria database).

Cell lengths 4.9611, 4.9611, 4.9611 Å; angles 60.00, 60.00, 60.00 degrees
Sites, in units of the cell vectors:
Li (0.1229, 0.1229, 0.1229)
Li (0.1229, 0.1229, 0.6312)
Li (0.1229, 0.6312, 0.1229)
Li (0.6312, 0.1229, 0.1229)
In (0.5000, 0.5000, 0.5000)
Pt (0.7500, 0.7500, 0.7500)

space-group type: F-43m



Relative energies, unit kJ/mol of atoms: (a) 0.0; (b) 9.9; (c) 14.2



(a)
# Sr2LiInPt

Sr2LiInPt after structural relaxation (PBE-GGA, the Alexandria database).

Cell lengths 5.8728, 5.8728, 4.8043 Å; angles 90.00, 90.00, 90.00 degrees
Sites, in units of the cell vectors:
Sr (0.0000, 0.5000, 0.0000)
Sr (0.5000, 0.0000, 0.0000)
Li (0.0000, 0.0000, 0.5000)
In (0.5000, 0.5000, 0.5000)
Pt (0.0000, 0.0000, 0.0000)

space-group type: P4/mmm



(b)
# Sr2LiInPt

Sr2LiInPt after structural relaxation (PBE-GGA, the Alexandria database).

Cell lengths 5.8925, 5.8925, 5.2201 Å; angles 90.00, 90.00, 90.00 degrees
Sites, in units of the cell vectors:
Sr (0.0000, 0.5000, 0.0000)
Sr (0.5000, 0.0000, 0.0000)
Li (0.0000, 0.0000, 0.5000)
In (0.5000, 0.5000, 0.5000)
Pt (0.5000, 0.5000, 0.0000)

space-group type: P4/mmm



Relative energies, unit kJ/mol of atoms: (a) 0.0; (b) 0.6



(a)
# LiPuInSn

LiPuInSn after structural relaxation (PBE-GGA, the Alexandria database).

Cell lengths 3.1843, 5.5688, 5.5811 Å; angles 90.00, 90.00, 90.00 degrees
Sites, in units of the cell vectors:
Li (0.0000, 0.0000, 0.0000)
Pu (0.0000, 0.5000, 0.5000)
In (0.5000, 0.5000, 0.0000)
Sn (0.5000, 0.0000, 0.5000)

space-group type: Pmmm



(b)
# LiPuInSn

LiPuInSn after structural relaxation (PBE-GGA, the Alexandria database).

Cell lengths 5.1746, 5.1746, 5.1746 Å; angles 60.00, 60.00, 60.00 degrees
Sites, in units of the cell vectors:
Li (0.0000, 0.0000, 0.0000)
Pu (0.5000, 0.5000, 0.5000)
In (0.7500, 0.7500, 0.7500)
Sn (0.2500, 0.2500, 0.2500)

space-group type: F-43m



Relative energies, unit kJ/mol of atoms: (a) 1.9; (b) 0.0